--- P ---
{"formula": "LiZrNi", "functional": "PBE", "state": "relaxed", "dos_ef_per_ev_fu": 4.23, "vol_a3_per_cell": 46.4, "cell": [[4.260, 0.000, 0.000], [-2.130, 3.689, 0.000], [0.000, 0.000, 2.950]], "species": ["Li", "Zr", "Ni"], "fractional_positions": [[0.000, 0.000, 0.166], [0.667, 0.333, 0.667], [0.333, 0.667, 0.167]]}

***

--- Q ---
{"formula": "LiZrNi", "functional": "PBE", "state": "relaxed", "dos_ef_per_ev_fu": 1.78, "vol_a3_per_cell": 190.6, "cell": [[-1.987, -2.625, -3.612], [-2.491, -2.308, 3.048], [-5.506, 6.763, 0.622]], "species": ["Zr", "Li", "Li", "Ni", "Zr", "Ni", "Zr", "Li", "Ni", "Ni", "Li", "Zr"], "fractional_positions": [[0.284, 0.500, 0.297], [0.765, 0.500, 0.035], [0.765, 0.000, 0.535], [0.187, 0.500, 0.617], [0.284, 0.000, 0.797], [0.813, 0.500, 0.383], [0.716, 0.000, 0.203], [0.235, 0.000, 0.465], [0.813, 0.000, 0.883], [0.187, 0.000, 0.117], [0.235, 0.500, 0.965], [0.716, 0.500, 0.703]]}

***

Q is preferred energetically. Next in line: 170 meV per atom higher.

***

--- P ---
{"formula": "LiZr2Ni9", "functional": "PBE", "state": "relaxed", "dos_ef_per_ev_fu": 11.78, "vol_a3_per_cell": 149.9, "cell": [[-3.433, -0.108, -1.451], [-1.421, -0.543, 3.404], [-0.895, 10.668, 1.327]], "species": ["Ni", "Li", "Ni", "Zr", "Ni", "Ni", "Ni", "Ni", "Ni", "Ni", "Zr", "Ni"], "fractional_positions": [[0.500, 0.000, 0.851], [0.000, 0.000, 0.000], [0.500, 0.500, 0.328], [0.000, 0.000, 0.678], [0.500, 0.500, 0.000], [0.500, 0.000, 0.500], [0.500, 0.500, 0.672], [0.000, 0.500, 0.851], [0.000, 0.500, 0.149], [0.000, 0.500, 0.500], [0.000, 0.000, 0.322], [0.500, 0.000, 0.149]]}

***

--- Q ---
{"formula": "LiZr2Ni9", "functional": "PBE", "state": "relaxed", "dos_ef_per_ev_fu": 14.94, "vol_a3_per_cell": 159.7, "cell": [[4.845, 0.000, 0.000], [2.423, 4.196, 0.000], [2.423, 1.399, 7.856]], "species": ["Ni", "Zr", "Ni", "Ni", "Zr", "Ni", "Ni", "Li", "Ni", "Ni", "Ni", "Ni"], "fractional_positions": [[0.414, 0.920, 0.252], [0.864, 0.864, 0.408], [0.080, 0.586, 0.748], [0.920, 0.414, 0.252], [0.136, 0.136, 0.592], [0.414, 0.414, 0.252], [0.500, 0.500, 0.500], [0.000, 0.000, 0.000], [0.334, 0.334, 0.999], [0.666, 0.666, 0.001], [0.586, 0.080, 0.748], [0.586, 0.586, 0.748]]}

***

P is preferred energetically. Next in line: 35 meV per atom higher.

***

--- P ---
{"formula": "Li2Zr2Ni", "functional": "PBE", "state": "relaxed", "dos_ef_per_ev_fu": 3.01, "vol_a3_per_cell": 91.2, "cell": [[3.959, 0.000, 0.000], [0.000, 3.959, 0.000], [1.980, 1.980, 5.816]], "species": ["Zr", "Zr", "Li", "Li", "Ni"], "fractional_positions": [[0.250, 0.750, 0.500], [0.750, 0.250, 0.500], [0.580, 0.580, 0.839], [0.420, 0.420, 0.161], [0.000, 0.000, 0.000]]}

***

--- Q ---
{"formula": "Li2Zr2Ni", "functional": "PBE", "state": "relaxed", "dos_ef_per_ev_fu": 2.23, "vol_a3_per_cell": 166.3, "cell": [[5.999, 0.000, 0.000], [0.000, 5.999, 0.000], [0.000, 0.000, 4.620]], "species": ["Li", "Li", "Zr", "Zr", "Zr", "Ni", "Ni", "Li", "Li", "Zr"], "fractional_positions": [[0.865, 0.635, 0.000], [0.135, 0.365, 0.000], [0.820, 0.320, 0.500], [0.320, 0.180, 0.500], [0.680, 0.820, 0.500], [0.000, 0.000, 0.000], [0.500, 0.500, 0.000], [0.365, 0.865, 0.000], [0.635, 0.135, 0.000], [0.180, 0.680, 0.500]]}

***

Q is preferred energetically. Next in line: 458 meV per atom higher.

***

--- P ---
{"formula": "Li2NpPd8", "functional": "PBE", "state": "relaxed", "dos_ef_per_ev_fu": 13.37, "vol_a3_per_cell": 174.3, "cell": [[-0.783, 3.997, -0.734], [-5.464, -0.524, 2.970], [5.158, -0.174, 5.219]], "species": ["Pd", "Np", "Li", "Pd", "Pd", "Pd", "Pd", "Pd", "Pd", "Li", "Pd"], "fractional_positions": [[0.857, 0.801, 0.714], [0.500, 0.000, 0.000], [0.774, 0.354, 0.548], [0.143, 0.199, 0.286], [0.953, 0.272, 0.907], [0.683, 0.924, 0.365], [0.317, 0.076, 0.635], [0.595, 0.462, 0.190], [0.405, 0.538, 0.810], [0.226, 0.646, 0.452], [0.047, 0.728, 0.093]]}

***

--- Q ---
{"formula": "Li2NpPd8", "functional": "PBE", "state": "relaxed", "dos_ef_per_ev_fu": 11.86, "vol_a3_per_cell": 173.6, "cell": [[4.835, -0.005, -0.004], [0.027, 6.837, 2.169], [0.027, 3.382, 6.325]], "species": ["Pd", "Pd", "Pd", "Li", "Pd", "Pd", "Pd", "Li", "Pd", "Pd", "Np"], "fractional_positions": [[0.604, 0.650, 0.153], [0.877, 0.206, 0.206], [0.396, 0.847, 0.350], [0.379, 0.255, 0.255], [0.396, 0.350, 0.847], [0.106, 0.407, 0.407], [0.604, 0.153, 0.650], [0.621, 0.745, 0.745], [0.894, 0.593, 0.593], [0.123, 0.794, 0.794], [0.000, 0.000, 0.000]]}

***

P is preferred energetically. Next in line: 98 meV per atom higher.

***

--- P ---
{"formula": "LiNpRu2", "functional": "PBE", "state": "relaxed", "dos_ef_per_ev_fu": 5.46, "vol_a3_per_cell": 61.9, "cell": [[3.564, 0.000, 0.000], [0.000, 4.166, 0.000], [0.000, 0.000, 4.166]], "species": ["Ru", "Li", "Ru", "Np"], "fractional_positions": [[0.000, 0.000, 0.500], [0.500, 0.000, 0.000], [0.000, 0.500, 0.000], [0.500, 0.500, 0.500]]}

***

--- Q ---
{"formula": "LiNpRu2", "functional": "PBE", "state": "relaxed", "dos_ef_per_ev_fu": 7.07, "vol_a3_per_cell": 62.7, "cell": [[-2.431, -3.631, 0.885], [0.611, -3.724, -2.373], [1.913, -3.557, 1.887]], "species": ["Li", "Ru", "Ru", "Np"], "fractional_positions": [[0.500, 0.500, 0.500], [0.750, 0.750, 0.750], [0.250, 0.250, 0.250], [0.000, 0.000, 0.000]]}

***

--- R ---
{"formula": "LiNpRu2", "functional": "PBE", "state": "relaxed", "dos_ef_per_ev_fu": 4.26, "vol_a3_per_cell": 63.5, "cell": [[-0.205, -0.325, 3.260], [0.003, -3.266, -0.325], [5.886, -0.030, 0.367]], "species": ["Ru", "Li", "Np", "Ru"], "fractional_positions": [[0.000, 0.000, 0.251], [0.500, 0.500, 0.000], [0.500, 0.500, 0.500], [0.000, 0.000, 0.749]]}

***

Q is preferred energetically. Next in line: 19 meV per atom higher.

***

--- P ---
{"formula": "LiNp2S4", "functional": "PBE", "state": "relaxed", "dos_ef_per_ev_fu": 18.74, "vol_a3_per_cell": 169.2, "cell": [[3.810, 0.000, -1.043], [-0.859, 6.084, -3.140], [-0.026, -0.147, 7.388]], "species": ["S", "S", "Li", "Np", "Np", "S", "S"], "fractional_positions": [[0.871, 0.177, 0.742], [0.360, 0.719, 0.720], [0.000, 0.000, 0.000], [0.270, 0.267, 0.539], [0.730, 0.733, 0.461], [0.640, 0.281, 0.280], [0.129, 0.823, 0.258]]}

***

--- Q ---
{"formula": "LiNp2S4", "functional": "PBE", "state": "relaxed", "dos_ef_per_ev_fu": 16.62, "vol_a3_per_cell": 290.8, "cell": [[-0.495, 3.711, 1.531], [-6.691, -0.369, -1.268], [-1.583, -4.156, 9.559]], "species": ["S", "Np", "S", "S", "Li", "S", "Np", "Np", "S", "Np", "S", "Li", "S", "S"], "fractional_positions": [[0.500, 0.238, 0.946], [0.500, 0.893, 0.816], [0.000, 0.617, 0.788], [0.000, 0.383, 0.212], [0.000, 0.000, 0.500], [0.500, 0.262, 0.446], [0.500, 0.107, 0.184], [0.500, 0.607, 0.316], [0.500, 0.738, 0.554], [0.500, 0.393, 0.684], [0.500, 0.762, 0.054], [0.000, 0.500, 0.000], [0.000, 0.117, 0.712], [0.000, 0.883, 0.288]]}

***

P is preferred energetically. Next in line: 22 meV per atom higher.